Entry 1:
Here is an optimized crystal structure of CuTe2Pb from Alexandria via LeMat-Bulk. Energies are from PBE.

```
CuTe2Pb
1.0
6.5852 -0.0144 0.0000
3.7137 5.4382 0.0000
-5.1495 -2.7119 3.0813
Pb Cu Te
1 1 2
direct
0.7500 0.2500 0.5000 Pb
0.5000 0.5000 0.0000 Cu
0.0000 0.0000 0.0000 Te
0.2500 0.7500 0.5000 Te
```

Results
ΔE_f (raw)   0.263 eV/atom
Total energy   -13.04 eV/cell

Entry 2:
Here is an optimized crystal structure of Zr3TiFe from Alexandria via LeMat-Bulk. Energies are from PBE.

```
Zr3TiFe
1.0
4.8090 0.0000 0.0000
0.0000 4.8090 0.0000
0.0000 0.0000 4.8090
Zr Ti Fe
3 1 1
direct
0.0000 0.0000 0.5000 Zr
0.0000 0.5000 0.0000 Zr
0.5000 0.0000 0.0000 Zr
0.5000 0.5000 0.5000 Ti
0.0000 0.0000 0.0000 Fe
```

Results
Energy relative to the elements   1.960 eV per formula unit
Total energy   -40.04 eV/cell

Entry 3:
Here is an optimized crystal structure of Li2RuBr from Alexandria via LeMat-Bulk. Energies are from PBE.

```
Li2RuBr
1.0
4.9397 -0.0096 0.0000
1.9896 4.5213 0.0000
-3.4647 -2.2558 2.7033
Ru Br Li
1 1 2
direct
0.2500 0.7500 0.5000 Ru
0.7500 0.2500 0.5000 Br
0.0000 0.0000 0.0000 Li
0.5000 0.5000 0.0000 Li
```

Results
ΔE_f (raw)   0.252 eV/atom
Total energy   -13.77 eV/cell

Entry 4:
Here is an optimized crystal structure of TbTh2Sc from Alexandria via LeMat-Bulk. Energies are from PBE.

```
TbTh2Sc
1.0
3.5236 0.0000 0.0000
0.0000 3.5236 0.0000
0.0000 0.0000 9.7227
Tb Sc Th
1 1 2
direct
0.5000 0.5000 0.5000 Tb
0.5000 0.5000 0.0000 Sc
0.0000 0.0000 0.2384 Th
0.0000 0.0000 0.7616 Th
```

Results
Energy relative to the elements   0.179 eV per formula unit
Total energy   -25.62 eV/cell

Entry 5:
Here is an optimized crystal structure of AcSc2Pt from Alexandria via LeMat-Bulk. Energies are from PBE.

```
AcSc2Pt
1.0
-1.7953 2.4421 3.2502
0.4141 -1.2865 4.2337
5.1114 3.8183 2.9928
Ac Pt Sc
1 1 2
direct
0.5000 0.5000 0.5000 Ac
0.0000 0.0000 0.0000 Pt
0.2898 0.2898 0.1306 Sc
0.7102 0.7102 0.8694 Sc
```

Results
Energy relative to the elements   -1.866 eV per formula unit
Total energy   -24.68 eV/cell

Entry 6:
Here is an optimized crystal structure of Ho3Tl4SnSe8 from Alexandria via LeMat-Bulk. Energies are from PBE.

```
Ho3Tl4SnSe8
1.0
-1.1566 -5.0279 6.5794
4.0346 -6.8262 -4.5073
4.3278 7.0992 0.8735
Se Tl Ho Sn
8 4 3 1
direct
0.2357 0.7034 0.9686 Se
0.2649 0.2962 0.5298 Se
0.7351 0.7038 0.4702 Se
0.2671 0.2966 0.0314 Se
0.7650 0.2967 0.5301 Se
0.7329 0.7034 0.9686 Se
0.7643 0.2966 0.0314 Se
0.2350 0.7033 0.4699 Se
0.0000 0.0000 0.0000 Tl
0.5000 0.0000 0.5000 Tl
0.5000 0.0000 0.0000 Tl
0.0000 0.0000 0.5000 Tl
0.5000 0.5000 0.5000 Ho
0.5000 0.5000 0.0000 Ho
0.0000 0.5000 0.5000 Ho
0.0000 0.5000 0.0000 Sn
```

Results
ΔE_f (raw)   -1.129 eV/atom
Total energy   -73.14 eV/cell

Entry 7:
Here is an optimized crystal structure of Na4CuIr3Se8 from Alexandria via LeMat-Bulk. Energies are from PBE.

```
Na4CuIr3Se8
1.0
7.6826 0.0000 0.0000
0.0000 7.9737 0.2003
-3.8413 -3.8380 5.4360
Ir Se Na Cu
3 8 4 1
direct
0.0000 0.5000 0.5000 Ir
0.5000 0.5000 0.5000 Ir
0.5000 0.5000 0.0000 Ir
0.7670 0.3112 0.0442 Se
0.7287 0.6862 0.4574 Se
0.7668 0.3109 0.5337 Se
0.2713 0.3138 0.5426 Se
0.2332 0.6891 0.4663 Se
0.2330 0.6888 0.9558 Se
0.7229 0.6888 0.9558 Se
0.2771 0.3112 0.0442 Se
0.5000 0.0000 0.5000 Na
0.0000 0.0000 0.0000 Na
0.5000 0.0000 0.0000 Na
0.0000 0.0000 0.5000 Na
0.0000 0.5000 0.0000 Cu
```

Results
ΔE_f (raw)   -0.531 eV/atom
Total energy   -72.33 eV/cell

Entry 8:
Here is an optimized crystal structure of Mo2Ru from Alexandria via LeMat-Bulk. Energies are from PBE.

```
Mo2Ru
1.0
-6.7376 -10.3077 0.7997
-1.6205 -12.2335 0.0099
4.5815 11.2195 2.3274
Ru Mo
4 8
direct
0.0855 0.0855 0.0000 Ru
0.3355 0.8355 0.5000 Ru
0.1645 0.6645 0.5000 Ru
0.9145 0.9145 0.0000 Ru
0.5019 0.0019 0.5000 Mo
0.8363 0.3363 0.5000 Mo
0.7481 0.7481 0.0000 Mo
0.9981 0.4981 0.5000 Mo
0.4137 0.4137 0.0000 Mo
0.5863 0.5863 0.0000 Mo
0.2519 0.2519 0.0000 Mo
0.6637 0.1637 0.5000 Mo
```

Results
Energy relative to the elements   0.393 eV per formula unit
Total energy   -122.18 eV/cell